No. 1
Material: BaBeTl2
Method: DFT, PBE
State: relaxed

Structure (POSCAR):
```
BaBeTl2
1.0
-3.821 0.865 3.834
-2.321 4.942 0.491
-5.233 0.728 -1.461
Tl Be Ba
2 1 1
Direct
0.250 0.250 0.250
0.750 0.750 0.750
0.000 0.000 0.000
0.500 0.500 0.500
```

Summary:
Calculated density: 7.914 g/cm³
SG: Fm-3m (225)
M_tot: 0.000 μB per formula unit

No. 2
Material: ErTm2MgPd4
Method: DFT, PBE
State: relaxed

Structure (POSCAR):
```
ErTm2MgPd4
1.0
-1.072 -0.363 -4.686
3.415 -1.250 -3.164
-1.063 -8.131 -1.607
Pd Mg Tm Er
4 1 2 1
Direct
0.124 0.124 0.628
0.375 0.375 0.875
0.876 0.876 0.372
0.625 0.625 0.125
0.500 0.500 0.500
0.754 0.754 0.737
0.246 0.246 0.263
0.000 0.000 0.000
```

Summary:
Calculated density: 10.003 g/cm³
SG: R-3m (166)
M_tot: 0.000 μB per formula unit

No. 3
Material: Sm2OsRh
Method: DFT, PBE
State: relaxed

Structure (POSCAR):
```
Sm2OsRh
1.0
3.487 0.000 0.000
0.000 3.487 0.000
0.000 0.000 6.966
Sm Rh Os
2 1 1
Direct
0.000 0.000 0.247
0.000 0.000 0.753
0.500 0.500 0.500
0.500 0.500 0.000
```

Summary:
Calculated density: 11.642 g/cm³
SG: P4/mmm (123)
M_tot: 0.000 μB per formula unit

No. 4
Material: LuTiCoCu
Method: DFT, PBE
State: relaxed

Structure (POSCAR):
```
LuTiCoCu
1.0
-1.277 -3.984 -1.637
-0.364 -3.542 2.739
-4.054 -1.649 1.012
Co Lu Ti Cu
1 1 1 1
Direct
0.000 0.000 0.000
0.250 0.250 0.250
0.750 0.750 0.750
0.500 0.500 0.500
```

Summary:
Calculated density: 8.944 g/cm³
SG: F-43m (216)
M_tot: 0.001 μB per formula unit

No. 5
Material: Ba2CuRu2
Method: DFT, PBE
State: relaxed

Structure (POSCAR):
```
Ba2CuRu2
1.0
9.381 0.000 0.000
0.000 9.381 0.000
0.000 0.000 3.234
Ba Ru Cu
4 4 2
Direct
0.302 0.802 0.000
0.698 0.198 0.000
0.802 0.698 0.000
0.198 0.302 0.000
0.415 0.085 0.500
0.915 0.415 0.500
0.585 0.915 0.500
0.085 0.585 0.500
0.000 0.000 0.000
0.500 0.500 0.000
```

Summary:
Calculated density: 6.304 g/cm³
SG: P4/mbm (127)
M_tot: 1.398 μB per formula unit

No. 6
Material: La2AgOs
Method: DFT, PBE
State: relaxed

Structure (POSCAR):
```
La2AgOs
1.0
-0.780 -0.399 6.446
-2.039 -3.468 5.113
3.703 -2.482 2.217
Os Ag La
1 1 2
Direct
0.499 0.499 0.501
0.802 0.802 0.698
0.000 0.000 0.001
0.199 0.199 0.301
```

Summary:
Calculated density: 9.363 g/cm³
SG: Imm2 (44)
M_tot: 0.000 μB per formula unit

No. 7
Material: Ba2ScTa
Method: DFT, PBE
State: relaxed

Structure (POSCAR):
```
Ba2ScTa
1.0
-3.277 -2.897 2.829
-2.296 -4.674 0.138
6.407 -3.555 4.686
Ba Sc Ta
2 1 1
Direct
0.244 0.244 0.313
0.012 0.012 0.938
0.488 0.488 0.579
0.756 0.756 0.670
```

Summary:
Calculated density: 5.763 g/cm³
SG: Cm (8)
M_tot: 0.001 μB per formula unit

No. 8
Material: Pr6NdHg3
Method: DFT, PBE
State: relaxed

Structure (POSCAR):
```
Pr6NdHg3
1.0
8.521 0.000 0.000
0.000 8.831 0.615
0.000 -1.371 8.745
Hg Pr Nd
6 12 2
Direct
0.461 0.263 0.099
0.961 0.737 0.901
0.356 0.420 0.580
0.961 0.099 0.263
0.856 0.580 0.420
0.461 0.901 0.737
0.310 0.064 0.440
0.310 0.560 0.936
0.162 0.736 0.612
0.097 0.770 0.230
0.672 0.942 0.058
0.162 0.388 0.264
0.810 0.440 0.064
0.662 0.612 0.736
0.662 0.264 0.388
0.810 0.936 0.560
0.597 0.230 0.770
0.172 0.058 0.942
0.996 0.334 0.666
0.496 0.666 0.334
```

Summary:
Calculated density: 7.945 g/cm³
SG: Cmc2_1 (36)
M_tot: 0.000 μB per formula unit

No. 9
Material: K2Ca3ZnF12
Method: DFT, PBE
State: relaxed

Structure (POSCAR):
```
K2Ca3ZnF12
1.0
-3.729 0.445 7.031
-5.620 -5.276 2.029
1.294 -5.415 5.705
Ca F Zn K
3 12 1 2
Direct
0.000 0.000 0.500
0.000 0.500 0.000
0.500 0.000 0.000
0.060 0.709 0.060
0.348 0.348 0.915
0.915 0.348 0.348
0.709 0.060 0.060
0.060 0.060 0.709
0.085 0.652 0.652
0.940 0.291 0.940
0.291 0.940 0.940
0.940 0.940 0.291
0.348 0.915 0.348
0.652 0.652 0.085
0.652 0.085 0.652
0.000 0.000 0.000
0.601 0.601 0.601
0.399 0.399 0.399
```

Summary:
Calculated density: 2.342 g/cm³
SG: R-3m (166)
ΔE_f (raw): -2.889 eV/atom
M_tot: 2.131 μB per formula unit

No. 10
Material: ZrRe3N
Method: DFT, PBE
State: relaxed

Structure (POSCAR):
```
ZrRe3N
1.0
-2.653 -3.070 0.917
2.107 -2.569 -2.503
2.414 -1.132 3.193
Zr N Re
1 1 3
Direct
0.500 0.500 0.500
0.000 0.000 0.000
0.000 0.000 0.500
0.000 0.500 0.000
0.500 0.000 0.000
```

Summary:
Calculated density: 15.314 g/cm³
SG: Pm-3m (221)
ΔE_f (raw): 0.021 eV/atom
M_tot: 0.000 μB per formula unit

No. 11
Material: RbNbInC2
Method: DFT, PBE
State: relaxed

Structure (POSCAR):
```
RbNbInC2
1.0
-1.632 3.839 -1.862
-4.763 -2.409 -0.794
-1.396 1.403 4.117
In Nb Rb C
1 1 1 2
Direct
0.000 0.000 0.000
0.000 0.500 0.000
0.500 0.500 0.500
0.000 0.000 0.500
0.500 0.000 0.000
```

Summary:
Calculated density: 4.678 g/cm³
SG: P4/mmm (123)
M_tot: 0.001 μB per formula unit

No. 12
Material: Nd2BiTe
Method: DFT, PBE
State: relaxed

Structure (POSCAR):
```
Nd2BiTe
1.0
-2.262 3.803 0.533
-2.418 0.657 3.687
4.712 4.722 4.944
Nd Te Bi
2 1 1
Direct
0.080 0.080 0.761
0.253 0.253 0.240
0.499 0.499 0.503
0.668 0.668 0.996
```

Summary:
Calculated density: 7.641 g/cm³
SG: R3m (160)
ΔE_f (raw): -1.146 eV/atom
M_tot: 0.152 μB per formula unit

Number 1: E -2.337 eV/atom. Number 2: E -5.368 eV/atom. Number 3: E -7.336 eV/atom. Number 4: E -6.063 eV/atom. Number 5: E -4.343 eV/atom. Number 6: E -5.956 eV/atom. Number 7: E -4.783 eV/atom. Number 8: E -3.619 eV/atom. Number 9: E -4.663 eV/atom. Number 10: E -10.823 eV/atom. Number 11: E -3.606 eV/atom. Number 12: E -5.286 eV/atom.